1.
A plane-wave DFT calculation with PBE was carried out for a relaxed MnTlTe3As crystal.

Lattice parameters (Å, degrees): 9.1225 3.6340 10.4713 90.00 108.47 90.00
Atoms (fractional coordinates):
Mn: 0.1851 0.2500 0.1740
Mn: 0.8149 0.7500 0.8260
Tl: 0.2842 0.7500 0.6994
Tl: 0.7158 0.2500 0.3006
Te: 0.0525 0.2500 0.8894
Te: 0.1126 0.2500 0.4060
Te: 0.3690 0.7500 0.0904
Te: 0.6310 0.2500 0.9096
Te: 0.8874 0.7500 0.5940
Te: 0.9475 0.7500 0.1106
As: 0.3382 0.7500 0.3327
As: 0.6618 0.2500 0.6673

Summary:
The value obtained for the total energy is -4.33 eV/atom. The value obtained for the magnetization is 1.7 μB/f.u. As for the space group: No. 11. As for the formation energy (no corrections): -0.062 eV/atom. As for the density of states at the Fermi level: 0.3533 states/eV per atom. The value obtained for the theoretical density is 7.23 Mg/m³.

=====

2.
A plane-wave DFT calculation with PBE was carried out for a relaxed Mn2Tl2Te6As crystal.

Lattice parameters (Å, degrees): 6.9782 6.9782 8.3993 97.66 97.66 119.98
Atoms (fractional coordinates):
Mn: 0.1702 0.8298 0.0000
Mn: 0.8298 0.1702 0.0000
Tl: 0.3421 0.6579 0.5000
Tl: 0.6579 0.3421 0.5000
Te: 0.0918 0.4360 0.8066
Te: 0.2090 0.2090 0.1892
Te: 0.4360 0.0918 0.8066
Te: 0.5640 0.9082 0.1934
Te: 0.7910 0.7910 0.8108
Te: 0.9082 0.5640 0.1934
As: 0.5000 0.5000 0.0000

Summary:
The value obtained for the total energy is -4.41 eV/atom. The value obtained for the magnetization is 7.0 μB/f.u. As for the space group: No. 12. As for the formation energy (no corrections): -0.177 eV/atom. As for the density of states at the Fermi level: 0.3399 states/eV per atom. The value obtained for the theoretical density is 6.61 Mg/m³.

=====

3.
A plane-wave DFT calculation with PBE was carried out for a relaxed ThMnAs2 crystal.

Lattice parameters (Å, degrees): 3.2759 3.2759 28.2508 90.00 90.00 120.00
Atoms (fractional coordinates):
Th: 0.0000 0.0000 0.0000
Th: 0.3333 0.6667 0.6667
Th: 0.6667 0.3333 0.3333
Mn: 0.0000 0.0000 0.5000
Mn: 0.3333 0.6667 0.1667
Mn: 0.6667 0.3333 0.8333
As: 0.0000 0.0000 0.1088
As: 0.0000 0.0000 0.8912
As: 0.3333 0.6667 0.5578
As: 0.3333 0.6667 0.7755
As: 0.6667 0.3333 0.2245
As: 0.6667 0.3333 0.4422

Summary:
The value obtained for the total energy is -6.48 eV/atom. The value obtained for the magnetization is 2.6 μB/f.u. As for the space group: No. 166. As for the density of states at the Fermi level: 1.0419 states/eV per atom. The value obtained for the theoretical density is 8.29 Mg/m³. The value obtained for the energy of formation is -0.003 eV per atom.

=====

4.
A plane-wave DFT calculation with PBE was carried out for a relaxed ThMn4As12 crystal.

Lattice parameters (Å, degrees): 7.3293 7.3293 7.3293 109.47 109.47 109.47
Atoms (fractional coordinates):
Th: 0.0000 0.0000 0.0000
Mn: 0.0000 0.0000 0.5000
Mn: 0.0000 0.5000 0.0000
Mn: 0.5000 0.0000 0.0000
Mn: 0.5000 0.5000 0.5000
As: 0.1547 0.3410 0.4957
As: 0.1547 0.6590 0.8136
As: 0.1864 0.8453 0.3410
As: 0.3410 0.1864 0.8453
As: 0.3410 0.4957 0.1547
As: 0.4957 0.1547 0.3410
As: 0.5043 0.8453 0.6590
As: 0.6590 0.5043 0.8453
As: 0.6590 0.8136 0.1547
As: 0.8136 0.1547 0.6590
As: 0.8453 0.3410 0.1864
As: 0.8453 0.6590 0.5043

Summary:
The value obtained for the total energy is -6.20 eV/atom. The value obtained for the magnetization is 4.0 μB/f.u. As for the space group: No. 204. As for the density of states at the Fermi level: 0.5207 states/eV per atom. The value obtained for the theoretical density is 7.40 Mg/m³. The value obtained for the energy of formation is -0.322 eV per atom.

=====

5.
A plane-wave DFT calculation with PBE was carried out for a relaxed TiMn2As crystal.

Lattice parameters (Å, degrees): 4.0255 4.0255 3.1062 90.00 90.00 90.00
Atoms (fractional coordinates):
Ti: 0.0000 0.0000 0.0000
Mn: 0.0000 0.5000 0.5000
Mn: 0.5000 0.0000 0.5000
As: 0.5000 0.5000 0.0000

Summary:
The value obtained for the total energy is -7.99 eV/atom. The value obtained for the magnetization is 1.1 μB/f.u. As for the space group: No. 123. As for the density of states at the Fermi level: 0.9722 states/eV per atom. The value obtained for the theoretical density is 7.68 Mg/m³. The value obtained for the energy of formation is -0.274 eV per atom.

=====

6.
A plane-wave DFT calculation with PBE was carried out for a relaxed TiMn2As crystal.

Lattice parameters (Å, degrees): 7.0074 7.0074 5.1524 90.00 90.00 90.00
Atoms (fractional coordinates):
Ti: 0.0000 0.0000 0.0000
Ti: 0.0000 0.5000 0.2500
Ti: 0.5000 0.0000 0.7500
Ti: 0.5000 0.5000 0.5000
Mn: 0.2218 0.2500 0.6250
Mn: 0.2500 0.7218 0.8750
Mn: 0.2500 0.7782 0.3750
Mn: 0.2782 0.2500 0.1250
Mn: 0.7218 0.7500 0.1250
Mn: 0.7500 0.2218 0.3750
Mn: 0.7500 0.2782 0.8750
Mn: 0.7782 0.7500 0.6250
As: 0.0000 0.0000 0.5000
As: 0.0000 0.5000 0.7500
As: 0.5000 0.0000 0.2500
As: 0.5000 0.5000 0.0000

Summary:
The value obtained for the total energy is -7.56 eV/atom. The value obtained for the magnetization is 5.2 μB/f.u. As for the space group: No. 122. As for the density of states at the Fermi level: 0.8537 states/eV per atom. The value obtained for the theoretical density is 6.11 Mg/m³. The value obtained for the energy of formation is 0.165 eV per atom.

=====

7.
A plane-wave DFT calculation with PBE was carried out for a relaxed TiMnAs2 crystal.

Lattice parameters (Å, degrees): 5.2266 5.2266 12.2424 90.00 90.00 90.00
Atoms (fractional coordinates):
Ti: 0.0000 0.0000 0.0000
Ti: 0.0000 0.5000 0.2500
Ti: 0.5000 0.0000 0.7500
Ti: 0.5000 0.5000 0.5000
Mn: 0.0000 0.0000 0.5000
Mn: 0.0000 0.5000 0.7500
Mn: 0.5000 0.0000 0.2500
Mn: 0.5000 0.5000 0.0000
As: 0.2098 0.2500 0.6250
As: 0.2500 0.7098 0.8750
As: 0.2500 0.7902 0.3750
As: 0.2902 0.2500 0.1250
As: 0.7098 0.7500 0.1250
As: 0.7500 0.2098 0.3750
As: 0.7500 0.2902 0.8750
As: 0.7902 0.7500 0.6250

Summary:
The value obtained for the total energy is -6.46 eV/atom. The value obtained for the magnetization is 0.0 μB/f.u. The value obtained for the energy above the lowest structure with this stoichiometry is 13.05 kcal/mol of atoms. As for the space group: No. 122. As for the density of states at the Fermi level: 1.1467 states/eV per atom. The value obtained for the theoretical density is 5.02 Mg/m³. The value obtained for the energy of formation is 0.134 eV per atom.

=====

8.
A plane-wave DFT calculation with PBE was carried out for a relaxed TiMnAs3 crystal.

Lattice parameters (Å, degrees): 4.8670 4.8670 4.8670 90.00 90.00 90.00
Atoms (fractional coordinates):
Ti: 0.0000 0.0000 0.0000
Mn: 0.5000 0.5000 0.5000
As: 0.0000 0.0000 0.5000
As: 0.0000 0.5000 0.0000
As: 0.5000 0.0000 0.0000

Summary:
The value obtained for the total energy is -5.85 eV/atom. The value obtained for the magnetization is 4.7 μB/f.u. The value obtained for the energy above the lowest structure with this stoichiometry is 0.00 kcal/mol of atoms. As for the space group: No. 221. As for the density of states at the Fermi level: 0.6490 states/eV per atom. The value obtained for the theoretical density is 4.72 Mg/m³. The value obtained for the energy of formation is 0.348 eV per atom.

=====

9.
A plane-wave DFT calculation with PBE was carried out for a relaxed TiMn3As crystal.

Lattice parameters (Å, degrees): 4.5149 4.5149 4.5149 90.00 90.00 90.00
Atoms (fractional coordinates):
Ti: 0.0000 0.0000 0.0000
Mn: 0.0000 0.0000 0.5000
Mn: 0.0000 0.5000 0.0000
Mn: 0.5000 0.0000 0.0000
As: 0.5000 0.5000 0.5000

Summary:
The value obtained for the total energy is -6.95 eV/atom. The value obtained for the magnetization is 8.9 μB/f.u. The value obtained for the energy above the lowest structure with this stoichiometry is 12.62 kcal/mol of atoms. As for the space group: No. 221. As for the density of states at the Fermi level: 1.3516 states/eV per atom. The value obtained for the theoretical density is 5.19 Mg/m³. The value obtained for the energy of formation is 1.062 eV per atom.

=====

10.
A plane-wave DFT calculation with PBE was carried out for a relaxed TiMnAs2 crystal.

Lattice parameters (Å, degrees): 6.2750 6.2750 6.2750 90.00 90.00 90.00
Atoms (fractional coordinates):
Ti: 0.0000 0.0000 0.0000
Ti: 0.0000 0.5000 0.5000
Ti: 0.5000 0.0000 0.5000
Ti: 0.5000 0.5000 0.0000
Mn: 0.0000 0.0000 0.5000
Mn: 0.0000 0.5000 0.0000
Mn: 0.5000 0.0000 0.0000
Mn: 0.5000 0.5000 0.5000
As: 0.2500 0.2500 0.2500
As: 0.2500 0.2500 0.7500
As: 0.2500 0.7500 0.2500
As: 0.2500 0.7500 0.7500
As: 0.7500 0.2500 0.2500
As: 0.7500 0.2500 0.7500
As: 0.7500 0.7500 0.2500
As: 0.7500 0.7500 0.7500

Summary:
The value obtained for the total energy is -6.84 eV/atom. The value obtained for the magnetization is 2.4 μB/f.u. The value obtained for the energy above the lowest structure with this stoichiometry is 4.18 kcal/mol of atoms. As for the space group: No. 225. As for the density of states at the Fermi level: 0.8411 states/eV per atom. The value obtained for the theoretical density is 6.79 Mg/m³. The value obtained for the energy of formation is -0.251 eV per atom.

=====

11.
A plane-wave DFT calculation with PBE was carried out for a relaxed TiMnAs2 crystal.

Lattice parameters (Å, degrees): 3.6266 3.6266 17.7147 90.00 90.00 120.00
Atoms (fractional coordinates):
Ti: 0.0000 0.0000 0.0000
Ti: 0.3333 0.6667 0.6667
Ti: 0.6667 0.3333 0.3333
Mn: 0.0000 0.0000 0.1729
Mn: 0.3333 0.6667 0.8396
Mn: 0.6667 0.3333 0.5063
As: 0.0000 0.0000 0.4224
As: 0.0000 0.0000 0.5833
As: 0.3333 0.6667 0.0890
As: 0.3333 0.6667 0.2500
As: 0.6667 0.3333 0.7557
As: 0.6667 0.3333 0.9166

Summary:
The value obtained for the total energy is -7.01 eV/atom. The value obtained for the magnetization is 3.0 μB/f.u. The value obtained for the energy above the lowest structure with this stoichiometry is 0.33 kcal/mol of atoms. As for the space group: No. 160. As for the density of states at the Fermi level: 0.5036 states/eV per atom. The value obtained for the theoretical density is 6.24 Mg/m³. The value obtained for the energy of formation is -0.418 eV per atom.

=====

12.
A plane-wave DFT calculation with PBE was carried out for a relaxed Ti3MnAs crystal.

Lattice parameters (Å, degrees): 4.6806 4.6806 4.6806 90.00 90.00 90.00
Atoms (fractional coordinates):
Ti: 0.0000 0.0000 0.5000
Ti: 0.0000 0.5000 0.0000
Ti: 0.5000 0.0000 0.0000
Mn: 0.5000 0.5000 0.5000
As: 0.0000 0.0000 0.0000

Summary:
The value obtained for the total energy is -7.18 eV/atom. The value obtained for the magnetization is 3.3 μB/f.u. The value obtained for the energy above the lowest structure with this stoichiometry is 2.81 kcal/mol of atoms. As for the space group: No. 221. As for the density of states at the Fermi level: 1.5805 states/eV per atom. The value obtained for the theoretical density is 4.43 Mg/m³. The value obtained for the energy of formation is 0.316 eV per atom.